# GGA-PBE SrCuBi2O, relaxed
# formation energy (no corrections): -0.471 eV per atom
# DOS(E_F): 2.8 states/eV/f.u.
data_SrCuBi2O
_chemical_formula_sum 'Sr1 Cu1 Bi2 O1'
_space_group_name_H-M_alt 'P 4/m m m'
_space_group_IT_number 123
_space_group_name_Hall '-P 4 2'
_cell_length_a 4.971
_cell_length_b 4.971
_cell_length_c 4.893
_cell_angle_alpha 90.00
_cell_angle_beta 90.00
_cell_angle_gamma 90.00
loop_
_atom_site_label
_atom_site_fract_x
_atom_site_fract_y
_atom_site_fract_z
Sr1 0.000 0.000 0.000
Cu1 0.500 0.500 0.000
Bi1 0.000 0.500 0.500
O1 0.000 0.000 0.500